LiPa2NbN6 | PBE | optimized geometry

Calculated values
Crystal system   trigonal
SG   R3 (146)
Theoretical density   7.78 Mg/m³
Density of states at the Fermi level   7.59 states/eV/cell
Formation energy without anion corrections   -0.933 eV per atom

```
LiPa2NbN6
1.0
2.825 1.631 4.990
-2.825 1.631 4.990
0.000 -3.262 4.990
Li Pa Nb N
1 2 1 6
direct
0.000 0.000 0.000
0.219 0.219 0.219
0.718 0.718 0.718
0.504 0.504 0.504
0.143 0.797 0.415
0.336 0.601 0.892
0.415 0.143 0.797
0.601 0.892 0.336
0.797 0.415 0.143
0.892 0.336 0.601
```


Nd4TlSn | PBE | optimized geometry

Calculated values
Crystal system   orthorhombic
SG   Cmcm (63)
Theoretical density   7.13 Mg/m³
E_form   -23.6 kJ per mole of atoms
Density of states at the Fermi level   17.06 states/eV/cell

```
Nd4TlSn
1.0
2.866 -11.119 0.000
2.866 11.119 0.000
0.000 0.000 6.579
Nd Tl Sn
8 2 2
direct
0.065 0.935 0.750
0.211 0.789 0.505
0.211 0.789 0.995
0.374 0.626 0.750
0.626 0.374 0.250
0.789 0.211 0.005
0.789 0.211 0.495
0.935 0.065 0.250
0.075 0.925 0.250
0.925 0.075 0.750
0.344 0.656 0.250
0.656 0.344 0.750
```


ZnIn2Cu | PBE | optimized geometry

Calculated values
Crystal system   orthorhombic
SG   Pmm2 (25)
Theoretical density   7.60 Mg/m³
E_form   14.7 kJ per mole of atoms
Density of states at the Fermi level   1.20 states/eV/cell

```
ZnIn2Cu
1.0
3.163 0.000 0.000
0.000 4.114 0.000
0.000 0.000 6.021
Zn In Cu
1 2 1
direct
0.000 0.000 0.000
0.000 0.000 0.452
0.500 0.500 0.763
0.500 0.500 0.222
```


Tb3Zn2Pt | PBE | optimized geometry

Calculated values
Crystal system   tetragonal
SG   P4/mmm (123)
Theoretical density   9.89 Mg/m³
E_form   -62.7 kJ per mole of atoms
Density of states at the Fermi level   4.73 states/eV/cell

```
Tb3Zn2Pt
1.0
3.584 0.000 0.000
0.000 3.584 0.000
0.000 0.000 10.492
Tb Zn Pt
3 2 1
direct
0.000 0.000 0.000
0.000 0.000 0.341
0.000 0.000 0.659
0.500 0.500 0.165
0.500 0.500 0.835
0.500 0.500 0.500
```


CaAsRu2 | PBE | optimized geometry

Calculated values
Crystal system   orthorhombic
SG   Pmm2 (25)
Theoretical density   7.54 Mg/m³
E_form   -0.5 kJ per mole of atoms
Density of states at the Fermi level   4.67 states/eV/cell

```
CaAsRu2
1.0
3.024 0.000 0.000
0.000 3.037 0.000
0.000 0.000 7.607
Ca As Ru
1 1 2
direct
0.000 0.000 0.000
0.500 0.500 0.688
0.000 0.000 0.501
0.500 0.500 0.282
```


DyHo4Er2Tm2 | PBE | optimized geometry

Calculated values
Crystal system   monoclinic
SG   C2/m (12)
Theoretical density   9.02 Mg/m³
E_form   0.1 kJ per mole of atoms
Density of states at the Fermi level   12.04 states/eV/cell

```
DyHo4Er2Tm2
1.0
9.193 -1.770 0.000
9.193 1.770 0.000
-4.083 0.000 8.456
Dy Ho Er Tm
1 4 2 2
direct
0.000 0.000 0.000
0.186 0.186 0.334
0.481 0.481 0.666
0.519 0.519 0.334
0.814 0.814 0.666
0.148 0.148 0.667
0.852 0.852 0.333
0.333 0.333 0.000
0.667 0.667 0.000
```


CePm4Au4 | PBE | optimized geometry

Calculated values
Crystal system   tetragonal
SG   P4_2/n (86)
Theoretical density   9.37 Mg/m³
E_form   -51.1 kJ per mole of atoms
Density of states at the Fermi level   29.98 states/eV/cell

```
CePm4Au4
1.0
9.296 0.000 0.000
0.000 9.296 0.000
0.000 0.000 6.188
Ce Pm Au
2 8 8
direct
0.250 0.250 0.250
0.750 0.750 0.750
0.060 0.659 0.160
0.159 0.940 0.660
0.341 0.560 0.660
0.440 0.841 0.160
0.560 0.159 0.840
0.659 0.440 0.340
0.841 0.060 0.340
0.940 0.341 0.840
0.033 0.631 0.650
0.131 0.967 0.150
0.369 0.533 0.150
0.467 0.869 0.650
0.533 0.131 0.350
0.631 0.467 0.850
0.869 0.033 0.850
0.967 0.369 0.350
```


CsCrTe2I | PBE | optimized geometry

Calculated values
Crystal system   tetragonal
SG   P4/mmm (123)
Theoretical density   5.31 Mg/m³
Density of states at the Fermi level   4.18 states/eV/cell
Formation energy without anion corrections   -0.391 eV per atom

```
CsCrTe2I
1.0
5.370 0.000 0.000
0.000 5.370 0.000
0.000 0.000 6.152
Cs Cr Te I
1 1 2 1
direct
0.000 0.000 0.000
0.500 0.500 0.500
0.000 0.500 0.500
0.500 0.000 0.500
0.500 0.500 0.000
```


ZrP4Ru | PBE | optimized geometry

Calculated values
Crystal system   cubic
SG   F-43m (216)
Theoretical density   5.86 Mg/m³
E_form   28.6 kJ per mole of atoms
Density of states at the Fermi level   6.46 states/eV/cell

```
ZrP4Ru
1.0
0.000 3.551 3.551
3.551 0.000 3.551
3.551 3.551 0.000
Zr P Ru
1 4 1
direct
0.000 0.000 0.000
0.128 0.624 0.624
0.624 0.128 0.624
0.624 0.624 0.128
0.624 0.624 0.624
0.250 0.250 0.250
```


TbPmMgPt | PBE | optimized geometry

Calculated values
Crystal system   cubic
SG   F-43m (216)
Theoretical density   8.92 Mg/m³
E_form   -52.6 kJ per mole of atoms
Density of states at the Fermi level   3.04 states/eV/cell

```
TbPmMgPt
1.0
0.000 3.652 3.652
3.652 0.000 3.652
3.652 3.652 0.000
Tb Pm Mg Pt
1 1 1 1
direct
0.000 0.000 0.000
0.500 0.500 0.500
0.750 0.750 0.750
0.250 0.250 0.250
```


Be2PbF4 | PBE | optimized geometry

Calculated values
Crystal system   tetragonal
SG   I4/mmm (139)
Theoretical density   3.98 Mg/m³
Formation energy without anion corrections   -1.835 eV per atom

```
Be2PbF4
1.0
-2.510 2.510 4.989
2.510 -2.510 4.989
2.510 2.510 -4.989
Be Pb F
2 1 4
direct
0.099 0.099 0.000
0.901 0.901 0.000
0.500 0.500 0.000
0.000 0.500 0.500
0.241 0.241 0.000
0.500 0.000 0.500
0.759 0.759 0.000
```


Pm4MgIr | PBE | optimized geometry

Calculated values
Crystal system   cubic
SG   F-43m (216)
Theoretical density   7.58 Mg/m³
E_form   -36.3 kJ per mole of atoms
Density of states at the Fermi level   17.36 states/eV/cell
E above lowest polymorph   0 meV/atom

```
Pm4MgIr
1.0
0.000 7.041 7.041
7.041 0.000 7.041
7.041 7.041 0.000
Pm Mg Ir
16 4 4
direct
0.062 0.062 0.438
0.062 0.438 0.062
0.062 0.438 0.438
0.188 0.188 0.812
0.188 0.812 0.188
0.188 0.812 0.812
0.209 0.597 0.597
0.438 0.062 0.062
0.438 0.062 0.438
0.438 0.438 0.062
0.597 0.209 0.597
0.597 0.597 0.209
0.597 0.597 0.597
0.812 0.188 0.188
0.812 0.188 0.812
0.812 0.812 0.188
0.513 0.829 0.829
0.829 0.513 0.829
0.829 0.829 0.513
0.829 0.829 0.829
0.392 0.392 0.392
0.392 0.392 0.825
0.392 0.825 0.392
0.825 0.392 0.392
```


| no. | VASP energy (eV per cell) |
| --- | --- |
| 1 | -90.3 |
| 2 | -53.8 |
| 3 | -10.2 |
| 4 | -26.4 |
| 5 | -25.2 |
| 6 | -41.0 |
| 7 | -85.6 |
| 8 | -20.3 |
| 9 | -37.7 |
| 10 | -19.2 |
| 11 | -31.5 |
| 12 | -126.9 |